AcLa2Ni2: optimized geometry, PBE.

Computed properties:
space-group type: C2/c (15)
DFT formation energy: -224 meV per atom
energy: -5.33 eV/atom
density of states at the Fermi level: 1.08 states/eV per atom

Cell: 6.810 6.810 7.668 Å, 100.93 100.93 53.93°
Element x y z (fractional)
Ac (0.059, 0.941, 0.750)
Ac (0.941, 0.059, 0.250)
La (0.245, 0.422, 0.350)
La (0.422, 0.245, 0.850)
La (0.578, 0.755, 0.150)
La (0.755, 0.578, 0.650)
Ni (0.066, 0.290, 0.032)
Ni (0.290, 0.066, 0.532)
Ni (0.710, 0.934, 0.468)
Ni (0.934, 0.710, 0.968)